Entry A
VASP calculation (PBE) on a relaxed structure of Nd4Ho5Al.

Computed properties:
Spin magnetization in Bohr magnetons per cell: 0.00

Geometry as POSCAR:
```
Nd4Ho5Al
1.0
3.587 0.000 0.000
0.000 3.587 0.000
0.000 0.000 24.222
Nd Ho Al
4 5 1
Direct
0.000 0.000 0.105
0.000 0.000 0.317
0.000 0.000 0.683
0.000 0.000 0.895
0.500 0.500 0.000
0.500 0.500 0.211
0.500 0.500 0.424
0.500 0.500 0.576
0.500 0.500 0.789
0.000 0.000 0.500
```

=====

Entry B
VASP calculation (PBE) on a relaxed structure of Nd4Ho5Al.

Computed properties:
Spin magnetization in Bohr magnetons per cell: 0.00

Geometry as POSCAR:
```
Nd4Ho5Al
1.0
-5.357 5.357 2.852
5.357 -5.357 2.852
5.357 5.357 -2.852
Nd Ho Al
4 5 1
Direct
0.000 0.310 0.310
0.000 0.690 0.690
0.310 0.000 0.310
0.690 0.000 0.690
0.311 0.311 0.637
0.311 0.674 0.000
0.674 0.311 0.000
0.674 0.674 0.363
0.801 0.801 0.000
0.286 0.286 0.000
```

=====

Stability, highest: entry A

=====

Entry A
VASP calculation (PBE) on a relaxed structure of NdHoAl2.

Computed properties:
Spin magnetization in Bohr magnetons per cell: 0.00

Geometry as POSCAR:
```
NdHoAl2
1.0
7.316 0.000 0.000
0.000 7.316 0.000
0.000 0.000 7.316
Nd Ho Al
4 4 8
Direct
0.000 0.000 0.000
0.000 0.500 0.500
0.500 0.000 0.500
0.500 0.500 0.000
0.000 0.000 0.500
0.000 0.500 0.000
0.500 0.000 0.000
0.500 0.500 0.500
0.250 0.250 0.250
0.250 0.250 0.750
0.250 0.750 0.250
0.250 0.750 0.750
0.750 0.250 0.250
0.750 0.250 0.750
0.750 0.750 0.250
0.750 0.750 0.750
```

=====

Entry B
VASP calculation (PBE) on a relaxed structure of NdHoAl2.

Computed properties:
Spin magnetization in Bohr magnetons per cell: 0.00

Geometry as POSCAR:
```
NdHoAl2
1.0
3.658 0.000 0.000
0.000 3.658 0.000
0.000 0.000 7.289
Nd Ho Al
1 1 2
Direct
0.000 0.000 0.000
0.000 0.000 0.500
0.500 0.500 0.266
0.500 0.500 0.734
```

=====

Stability, highest: entry B